Record 1
This record from OQMD describes crystalline Er2Tm2Ta at its relaxed geometry. The functional is PBE.

Cell: 4.8869 4.8869 16.2860 Å, 90.00 90.00 120.00°
Space group P6_3/mmc (No. 194)
One atom of each set of equivalent atoms:
Er (0.3333, 0.6667, 0.0533)
Tm (0.3333, 0.6667, 0.6455)
Ta (0.0000, 0.0000, 0.0000)

Calculated values
Electronic total energy: -51.24 eV per cell

Record 2
This record from OQMD describes crystalline ErTmTa at its relaxed geometry. The functional is PBE.

Cell: 7.0138 7.0138 7.0138 Å, 90.00 90.00 90.00°
Space group F-43m (No. 216)
One atom of each set of equivalent atoms:
Er (0.0000, 0.0000, 0.0000)
Tm (0.2500, 0.2500, 0.2500)
Ta (0.0000, 0.0000, 0.5000)

Calculated values
Electronic total energy: -68.21 eV per cell
Relative energy among the computed polymorphs: 0 meV per atom

Record 3
This record from OQMD describes crystalline ErUTa at its relaxed geometry. The functional is PBE.

Cell: 6.8083 6.8083 6.8083 Å, 90.00 90.00 90.00°
Space group F-43m (No. 216)
One atom of each set of equivalent atoms:
Er (0.0000, 0.0000, 0.0000)
U (0.2500, 0.2500, 0.2500)
Ta (0.0000, 0.0000, 0.5000)

Calculated values
Electronic total energy: -93.38 eV per cell
Relative energy among the computed polymorphs: 0 meV per atom

Record 4
This record from OQMD describes crystalline ErTaZn at its relaxed geometry. The functional is PBE.

Cell: 6.6920 6.6920 6.6920 Å, 90.00 90.00 90.00°
Space group F-43m (No. 216)
One atom of each set of equivalent atoms:
Er (0.0000, 0.0000, 0.0000)
Ta (0.2500, 0.2500, 0.7500)
Zn (0.2500, 0.2500, 0.2500)

Calculated values
Electronic total energy: -55.05 eV per cell
Relative energy among the computed polymorphs: 746 meV per atom

Record 5
This record from OQMD describes crystalline ErTaZn at its relaxed geometry. The functional is PBE.

Cell: 6.4333 6.4333 6.4333 Å, 90.00 90.00 90.00°
Space group F-43m (No. 216)
One atom of each set of equivalent atoms:
Er (0.0000, 0.0000, 0.0000)
Ta (0.0000, 0.0000, 0.5000)
Zn (0.2500, 0.2500, 0.2500)

Calculated values
Electronic total energy: -64.00 eV per cell
Relative energy among the computed polymorphs: 0 meV per atom

Record 6
This record from OQMD describes crystalline Tb2Er at its relaxed geometry. The functional is PBE.

Cell: 12.5447 12.5447 12.5447 Å, 90.00 90.00 90.00°
Space group Fd-3m (No. 227, origin choice 2)
One atom of each set of equivalent atoms:
Tb (0.0000, 0.0000, 0.0000)
Er (0.1250, 0.1250, 0.1250)

Calculated values
Electronic total energy: -47.31 eV per cell
Relative energy among the computed polymorphs: 2375 meV per atom

Record 7
This record from OQMD describes crystalline Tb2Er at its relaxed geometry. The functional is PBE.

Cell: 9.2215 9.2215 9.2215 Å, 90.00 90.00 90.00°
Space group Fd-3m (No. 227, origin choice 2)
One atom of each set of equivalent atoms:
Tb (0.0000, 0.0000, 0.0000)
Er (0.1250, 0.1250, 0.6250)

Calculated values
Electronic total energy: -104.32 eV per cell
Relative energy among the computed polymorphs: 0 meV per atom

Record 8
This record from OQMD describes crystalline TbEr2 at its relaxed geometry. The functional is PBE.

Cell: 9.1952 9.1952 9.1952 Å, 90.00 90.00 90.00°
Space group Fd-3m (No. 227, origin choice 2)
One atom of each set of equivalent atoms:
Tb (0.1250, 0.1250, 0.1250)
Er (0.0000, 0.0000, 0.5000)

Calculated values
Electronic total energy: -103.32 eV per cell
Relative energy among the computed polymorphs: 0 meV per atom